(1)
Below is Dy2HfSc after structural relaxation, with properties calculated at the GGA-PBE level. Values from VASP.

Computed properties:
Spin magnetization: 0.0 μB per formula unit
Energy of formation: 50 kJ/mol of formula units
DOS at the Fermi energy: 1.377 states/eV/atom
Crystal system: tetragonal

The structure in Quantum ESPRESSO input format:
```
&SYSTEM
  ibrav = 0, nat = 4, ntyp = 3
/
ATOMIC_SPECIES
Dy 162.50 Dy.upf
Hf 178.49 Hf.upf
Sc 44.96 Sc.upf
ATOMIC_POSITIONS crystal
Dy 0.000 0.500 0.000
Dy 0.500 0.000 0.000
Hf 0.000 0.000 0.500
Sc 0.500 0.500 0.500
CELL_PARAMETERS angstrom
4.767 0.000 0.000
0.000 4.767 0.000
0.000 0.000 4.691
```

---

(2)
Below is TaSbRh after structural relaxation, with properties calculated at the GGA-PBE level. Values from VASP.

Computed properties:
Formation energy (no corrections): -0.033 eV per atom
Spin magnetization: 0.0 μB per formula unit
DOS at the Fermi energy: 0.685 states/eV/atom
Crystal system: trigonal

The structure in Quantum ESPRESSO input format:
```
&SYSTEM
  ibrav = 0, nat = 3, ntyp = 3
/
ATOMIC_SPECIES
Ta 180.95 Ta.upf
Sb 121.76 Sb.upf
Rh 102.91 Rh.upf
ATOMIC_POSITIONS crystal
Ta 0.000 0.000 0.000
Sb 0.667 0.333 0.640
Rh 0.333 0.667 0.298
CELL_PARAMETERS angstrom
3.099 0.000 0.000
-1.550 2.684 0.000
0.000 0.000 6.695
```

---

(3)
Below is TaSiHg2 after structural relaxation, with properties calculated at the GGA-PBE level. Values from VASP.

Computed properties:
Formation energy (no corrections): 0.454 eV per atom
Spin magnetization: 0.0 μB per formula unit
DOS at the Fermi energy: 0.502 states/eV/atom
Crystal system: monoclinic

The structure in Quantum ESPRESSO input format:
```
&SYSTEM
  ibrav = 0, nat = 4, ntyp = 3
/
ATOMIC_SPECIES
Ta 180.95 Ta.upf
Si 28.09 Si.upf
Hg 200.59 Hg.upf
ATOMIC_POSITIONS crystal
Ta 0.000 0.000 0.000
Si 0.500 0.500 0.000
Hg 0.000 0.500 0.500
Hg 0.500 0.000 0.500
CELL_PARAMETERS angstrom
2.752 -4.770 0.000
2.752 4.770 0.000
-0.630 0.000 2.956
```

---

(4)
Below is Li4GdEr after structural relaxation, with properties calculated at the GGA-PBE level. Values from VASP.

Computed properties:
Spin magnetization: 7.5 μB per formula unit
Energy of formation: 68 kJ/mol of formula units
DOS at the Fermi energy: 1.056 states/eV/atom
Crystal system: cubic

The structure in Quantum ESPRESSO input format:
```
&SYSTEM
  ibrav = 0, nat = 6, ntyp = 3
/
ATOMIC_SPECIES
Li 6.94 Li.upf
Gd 157.25 Gd.upf
Er 167.26 Er.upf
ATOMIC_POSITIONS crystal
Li 0.125 0.125 0.125
Li 0.125 0.125 0.624
Li 0.125 0.624 0.125
Li 0.624 0.125 0.125
Gd 0.750 0.750 0.750
Er 0.500 0.500 0.500
CELL_PARAMETERS angstrom
0.000 4.129 4.129
4.129 0.000 4.129
4.129 4.129 0.000
```

---

Repeat the third record exactly.
Below is TaSiHg2 after structural relaxation, with properties calculated at the GGA-PBE level. Values from VASP.

Computed properties:
Formation energy (no corrections): 0.454 eV per atom
Spin magnetization: 0.0 μB per formula unit
DOS at the Fermi energy: 0.502 states/eV/atom
Crystal system: monoclinic

The structure in Quantum ESPRESSO input format:
```
&SYSTEM
  ibrav = 0, nat = 4, ntyp = 3
/
ATOMIC_SPECIES
Ta 180.95 Ta.upf
Si 28.09 Si.upf
Hg 200.59 Hg.upf
ATOMIC_POSITIONS crystal
Ta 0.000 0.000 0.000
Si 0.500 0.500 0.000
Hg 0.000 0.500 0.500
Hg 0.500 0.000 0.500
CELL_PARAMETERS angstrom
2.752 -4.770 0.000
2.752 4.770 0.000
-0.630 0.000 2.956
```